# In2Hg2Se GGA-PBE relaxed
data_In2Hg2Se
_chemical_formula_sum 'In4 Hg4 Se2'
_cell_length_a 7.580
_cell_length_b 7.580
_cell_length_c 4.989
_cell_angle_alpha 90.00
_cell_angle_beta 90.00
_cell_angle_gamma 90.00
_space_group_name_H-M_alt 'P 4/m b m'
_space_group_IT_number 127
_space_group_name_Hall '-P 4 2ab'
loop_
_atom_site_label
_atom_site_fract_x
_atom_site_fract_y
_atom_site_fract_z
_atom_site_occupancy
In1 0.146 0.354 0.000 1
Hg1 0.169 0.669 0.500 1
Se1 0.000 0.000 0.000 1
# - spin magnetization (μB/atom) = 0.000
# - DFT total energy (eV per cell) = -20.01
# - formation energy from raw total energies (eV/atom) = -0.0875
# - excess energy over the best structure of this formula in the dataset (meV per atom) = 107

# PuZnH GGA-PBE relaxed
data_PuZnH
_chemical_formula_sum 'Pu2 Zn2 H2'
_cell_length_a 4.791
_cell_length_b 3.368
_cell_length_c 5.038
_cell_angle_alpha 90.00
_cell_angle_beta 101.08
_cell_angle_gamma 90.00
_space_group_name_H-M_alt 'P 1 21/m 1'
_space_group_IT_number 11
loop_
_space_group_symop_operation_xyz
'x,y,z'
'-x,-y,-z'
'-x,y+1/2,-z'
'x,-y+1/2,z'
loop_
_atom_site_label
_atom_site_fract_x
_atom_site_fract_y
_atom_site_fract_z
_atom_site_occupancy
Pu1 0.171 0.250 0.023 1
Zn1 0.245 0.750 0.539 1
H1 0.438 0.750 0.096 1
# - spin magnetization (μB/atom) = 0.000
# - DFT total energy (eV per cell) = -38.12
# - excess energy over the best structure of this formula in the dataset (meV per atom) = 0

# TiNb2Os GGA-PBE relaxed
data_TiNb2Os
_chemical_formula_sum 'Ti4 Nb8 Os4'
_cell_length_a 6.413
_cell_length_b 6.413
_cell_length_c 6.413
_cell_angle_alpha 90.00
_cell_angle_beta 90.00
_cell_angle_gamma 90.00
_space_group_name_H-M_alt 'F m -3 m'
_space_group_IT_number 225
_space_group_name_Hall '-F 4 2 3'
loop_
_atom_site_label
_atom_site_fract_x
_atom_site_fract_y
_atom_site_fract_z
_atom_site_occupancy
Ti1 0.000 0.000 0.000 1
Nb1 0.250 0.250 0.250 1
Os1 0.000 0.000 0.500 1
# - spin magnetization (μB/atom) = 0.000
# - DFT total energy (eV per cell) = -161.14
# - formation energy (eV per atom) = -0.2553
# - excess energy over the best structure of this formula in the dataset (meV per atom) = 42